# 1
A plane-wave DFT calculation with PBE-GGA was carried out for a geometry-optimized Li2LaSnN structure.

The value obtained for the theoretical density is 5.0 g/cm³. As for the space group: Cmcm, No. 63. For the total energy, the calculation gives -49.21 eV/cell. The crystal system is orthorhombic. Its uncorrected formation energy is -704 meV per atom.

Lattice parameters (Å, degrees): 3.5571 7.6650 7.1283 90.00 90.00 103.42
With the nearest neighbours (Å) after each atom.
Sites, in units of the cell vectors:
Li 0.1297 0.2594 0.9389  1 N 1.98
Li 0.8703 0.7406 0.0611  1 N 1.98
Li 0.1297 0.2594 0.5611  1 N 1.98
Li 0.8703 0.7406 0.4389  1 N 1.98
La 0.4633 0.9267 0.7500  4 N 2.58
La 0.5367 0.0733 0.2500  4 N 2.58
Sn 0.7497 0.4994 0.7500  6 Li 2.86
Sn 0.2503 0.5006 0.2500  6 Li 2.86
N 0.0000 0.0000 0.0000  2 Li 1.98
N 0.0000 0.0000 0.5000  2 Li 1.98

=====

# 2
A plane-wave DFT calculation with PBE-GGA was carried out for a geometry-optimized Ho5CdGa2 structure.

The value obtained for the theoretical density is 8.2 g/cm³. As for the space group: Cmcm, No. 63. For the total energy, the calculation gives -62.71 eV/cell. The crystal system is orthorhombic.

Lattice parameters (Å, degrees): 5.2422 5.8723 15.8320 90.00 90.00 116.51
With the nearest neighbours (Å) after each atom.
Sites, in units of the cell vectors:
Ho 0.9223 0.8445 0.9032  4 Ga 3.20-3.34, 4 Ho 3.24-3.47, 1 Cd 3.52
Ho 0.9223 0.8445 0.5968  4 Ga 3.20-3.34, 4 Ho 3.24-3.47, 1 Cd 3.52
Ho 0.3817 0.7634 0.4363  3 Ga 2.88-2.90, 1 Cd 3.02, 1 Ho 3.20
Ho 0.3817 0.7634 0.0637  3 Ga 2.88-2.90, 1 Cd 3.02, 1 Ho 3.20
Ho 0.6494 0.2989 0.2500  2 Ga 2.89, 2 Cd 3.18
Ho 0.3506 0.7011 0.7500  2 Ga 2.89, 2 Cd 3.18
Ho 0.6183 0.2366 0.5637  3 Ga 2.88-2.90, 1 Cd 3.02, 1 Ho 3.20
Ho 0.6183 0.2366 0.9363  3 Ga 2.88-2.90, 1 Cd 3.02, 1 Ho 3.20
Ho 0.0777 0.1555 0.0968  4 Ga 3.20-3.34, 4 Ho 3.24-3.47, 1 Cd 3.52
Ho 0.0777 0.1555 0.4032  4 Ga 3.20-3.34, 4 Ho 3.24-3.47, 1 Cd 3.52
Cd 0.6789 0.3577 0.7500  4 Ho 3.02-3.18
Cd 0.3211 0.6423 0.2500  4 Ho 3.02-3.18
Ga 0.7738 0.5477 0.4127  5 Ho 2.88-3.20
Ga 0.7738 0.5477 0.0873  5 Ho 2.88-3.20
Ga 0.2262 0.4523 0.5873  5 Ho 2.88-3.20
Ga 0.2262 0.4523 0.9127  5 Ho 2.88-3.20